# 1
# GGA-PBE Er7Ir2Au2, relaxed
data_Er7Ir2Au2
_chemical_formula_sum 'Er14 Ir4 Au4'
_cell_length_a 8.0830
_cell_length_b 10.5247
_cell_length_c 6.9669
_cell_angle_alpha 90.00
_cell_angle_beta 90.00
_cell_angle_gamma 90.00
_space_group_name_H-M_alt 'C m m m'
_space_group_IT_number 65
_space_group_name_Hall '-C 2 2'
loop_
_atom_site_label
_atom_site_fract_x
_atom_site_fract_y
_atom_site_fract_z
Er1 0.0000 0.0000 0.0000
Er2 0.0000 0.5000 0.2489
Er3 0.2500 0.2500 0.2551
Ir1 0.0000 0.2842 0.0000
Au1 0.2042 0.0000 0.5000
# - excess energy over the best structure of this formula in the dataset (meV per atom) = 131
# - calculated total energy (eV per atom) = -5.708
# - total moment (μB/f.u.) = 0.0
# - DFT formation energy (meV/atom) = -598

---

# 2
# GGA-PBE Th3ZnRu, relaxed
data_Th3ZnRu
_chemical_formula_sum 'Th12 Zn4 Ru4'
_cell_length_a 7.9265
_cell_length_b 14.0597
_cell_length_c 5.2254
_cell_angle_alpha 90.00
_cell_angle_beta 90.00
_cell_angle_gamma 90.00
_space_group_name_H-M_alt 'C m m m'
_space_group_IT_number 65
_space_group_name_Hall '-C 2 2'
loop_
_atom_site_label
_atom_site_fract_x
_atom_site_fract_y
_atom_site_fract_z
Th1 0.0000 0.1276 0.0000
Th2 0.1878 0.5000 0.5000
Th3 0.2500 0.2500 0.5000
Zn1 0.0000 0.3761 0.0000
Ru1 0.0000 0.1096 0.5000
# - calculated total energy (eV per atom) = -6.630
# - total moment (μB/f.u.) = 0.0
# - DFT formation energy (meV/atom) = -68

---

# 3
# GGA-PBE LaSm3As3, relaxed
data_LaSm3As3
_chemical_formula_sum 'La4 Sm12 As12'
_cell_length_a 8.9980
_cell_length_b 8.9980
_cell_length_c 8.9980
_cell_angle_alpha 90.00
_cell_angle_beta 90.00
_cell_angle_gamma 90.00
_space_group_name_H-M_alt 'P 21 3'
_space_group_IT_number 198
_space_group_name_Hall 'P 2ac 2ab 3'
loop_
_atom_site_label
_atom_site_fract_x
_atom_site_fract_y
_atom_site_fract_z
La1 0.0673 0.4327 0.5673
Sm1 0.0673 0.5673 0.9327
Sm2 0.1836 0.8164 0.3164
Sm3 0.1845 0.1845 0.1845
As1 0.0007 0.2535 0.8790
# - calculated total energy (eV per atom) = -6.002
# - total moment (μB/f.u.) = 0.0
# - DFT formation energy (meV/atom) = -1283

---

# 4
# GGA-PBE YSi3, relaxed
data_YSi3
_chemical_formula_sum 'Y8 Si24'
_cell_length_a 7.2224
_cell_length_b 7.2224
_cell_length_c 10.8396
_cell_angle_alpha 90.00
_cell_angle_beta 90.00
_cell_angle_gamma 90.00
_space_group_name_H-M_alt 'I 4/m m m'
_space_group_IT_number 139
_space_group_name_Hall '-I 4 2'
loop_
_atom_site_label
_atom_site_fract_x
_atom_site_fract_y
_atom_site_fract_z
Y1 0.0000 0.0000 0.1717
Y2 0.0000 0.5000 0.2500
Si1 0.0000 0.3279 0.0000
Si2 0.1861 0.1861 0.3882
# - ΔE_f (raw) (eV/atom) = -0.356
# - calculated total energy (eV per atom) = -6.039
# - total moment (μB/f.u.) = 0.0

---

# 5
# GGA-PBE LiLa2MgF, relaxed
data_LiLa2MgF
_chemical_formula_sum 'Li1 La2 Mg1 F1'
_cell_length_a 5.4241
_cell_length_b 5.4241
_cell_length_c 4.0701
_cell_angle_alpha 90.00
_cell_angle_beta 90.00
_cell_angle_gamma 90.00
_space_group_name_H-M_alt 'P 4/m m m'
_space_group_IT_number 123
_space_group_name_Hall '-P 4 2'
loop_
_atom_site_label
_atom_site_fract_x
_atom_site_fract_y
_atom_site_fract_z
Li1 0.0000 0.0000 0.0000
La1 0.0000 0.5000 0.5000
Mg1 0.5000 0.5000 0.0000
F1 0.0000 0.0000 0.5000
# - ΔE_f (raw) (eV/atom) = -1.058
# - calculated total energy (eV per atom) = -4.105
# - total moment (μB/f.u.) = 0.0

---

# 6
# GGA-PBE Ca2TlIn2, relaxed
data_Ca2TlIn2
_chemical_formula_sum 'Ca8 Tl4 In8'
_cell_length_a 11.7419
_cell_length_b 4.8417
_cell_length_c 11.6537
_cell_angle_alpha 90.00
_cell_angle_beta 115.89
_cell_angle_gamma 90.00
_space_group_name_H-M_alt 'C 1 2/m 1'
_space_group_IT_number 12
loop_
_space_group_symop_operation_xyz
'x,y,z'
'-x,-y,-z'
'-x,y,-z'
'x,-y,z'
'x+1/2,y+1/2,z'
'-x+1/2,-y+1/2,-z'
'-x+1/2,y+1/2,-z'
'x+1/2,-y+1/2,z'
loop_
_atom_site_label
_atom_site_fract_x
_atom_site_fract_y
_atom_site_fract_z
Ca1 0.0046 0.0000 0.3233
Ca2 0.1807 0.0000 0.1037
Tl1 0.2162 0.5000 0.3246
In1 0.0405 0.5000 0.8954
In2 0.1396 0.5000 0.5510
# - excess energy over the best structure of this formula in the dataset (meV per atom) = 0
# - calculated total energy (eV per atom) = -2.727
# - total moment (μB/f.u.) = 0.0
# - DFT formation energy (meV/atom) = -358

---

# 7
# GGA-PBE Dy6As2PtS3, relaxed
data_Dy6As2PtS3
_chemical_formula_sum 'Dy12 As4 Pt2 S6'
_cell_length_a 17.5710
_cell_length_b 3.9965
_cell_length_c 8.0791
_cell_angle_alpha 90.00
_cell_angle_beta 103.62
_cell_angle_gamma 90.00
_space_group_name_H-M_alt 'C 1 2/m 1'
_space_group_IT_number 12
loop_
_space_group_symop_operation_xyz
'x,y,z'
'-x,-y,-z'
'-x,y,-z'
'x,-y,z'
'x+1/2,y+1/2,z'
'-x+1/2,-y+1/2,-z'
'-x+1/2,y+1/2,-z'
'x+1/2,-y+1/2,z'
loop_
_atom_site_label
_atom_site_fract_x
_atom_site_fract_y
_atom_site_fract_z
Dy1 0.0019 0.0000 0.2522
Dy2 0.1670 0.5000 0.0838
Dy3 0.1669 0.5000 0.5814
As1 0.1659 0.0000 0.8330
Pt1 0.0000 0.5000 0.5000
S1 0.0000 0.5000 0.0000
S2 0.1696 0.0000 0.3328
# - ΔE_f (raw) (eV/atom) = -1.699
# - calculated total energy (eV per atom) = -6.310
# - total moment (μB/f.u.) = 0.0

---

# 8
# GGA-PBE ScOsRu2, relaxed
data_ScOsRu2
_chemical_formula_sum 'Sc4 Os4 Ru8'
_cell_length_a 7.2912
_cell_length_b 7.2912
_cell_length_c 5.2817
_cell_angle_alpha 90.00
_cell_angle_beta 90.00
_cell_angle_gamma 90.00
_space_group_name_H-M_alt 'I -4 2 d'
_space_group_IT_number 122
_space_group_name_Hall 'I -4 2bw'
loop_
_atom_site_label
_atom_site_fract_x
_atom_site_fract_y
_atom_site_fract_z
Sc1 0.0000 0.0000 0.0000
Os1 0.0000 0.0000 0.5000
Ru1 0.2021 0.2500 0.6250
# - excess energy over the best structure of this formula in the dataset (meV per atom) = 436
# - calculated total energy (eV per atom) = -8.659
# - total moment (μB/f.u.) = 0.0
# - DFT formation energy (meV/atom) = 370

---

# 9
# GGA-PBE PmErO2, relaxed
data_PmErO2
_chemical_formula_sum 'Pm3 Er3 O6'
_cell_length_a 3.5736
_cell_length_b 3.5736
_cell_length_c 20.0340
_cell_angle_alpha 90.00
_cell_angle_beta 90.00
_cell_angle_gamma 120.00
_space_group_name_H-M_alt 'R -3 m'
_space_group_IT_number 166
_space_group_name_Hall '-R 3 2"'
loop_
_atom_site_label
_atom_site_fract_x
_atom_site_fract_y
_atom_site_fract_z
Pm1 0.0000 0.0000 0.0000
Er1 0.0000 0.0000 0.5000
O1 0.0000 0.0000 0.1147
# - ΔE_f (raw) (eV/atom) = -2.866
# - calculated total energy (eV per atom) = -7.673
# - total moment (μB/f.u.) = 0.0

---

# 10
# GGA-PBE EuMgZnSn, relaxed
data_EuMgZnSn
_chemical_formula_sum 'Eu4 Mg4 Zn4 Sn4'
_cell_length_a 7.3203
_cell_length_b 7.3203
_cell_length_c 7.3203
_cell_angle_alpha 90.00
_cell_angle_beta 90.00
_cell_angle_gamma 90.00
_space_group_name_H-M_alt 'F -4 3 m'
_space_group_IT_number 216
_space_group_name_Hall 'F -4 2 3'
loop_
_atom_site_label
_atom_site_fract_x
_atom_site_fract_y
_atom_site_fract_z
Eu1 0.0000 0.0000 0.0000
Mg1 0.0000 0.0000 0.5000
Zn1 0.2500 0.2500 0.7500
Sn1 0.2500 0.2500 0.2500
# - calculated total energy (eV per atom) = -4.652
# - total moment (μB/f.u.) = 7.0
# - DFT formation energy (meV/atom) = -365

---

# 11
# GGA-PBE Co2ReRh, relaxed
data_Co2ReRh
_chemical_formula_sum 'Co4 Re2 Rh2'
_cell_length_a 5.2595
_cell_length_b 7.2609
_cell_length_c 2.6282
_cell_angle_alpha 90.00
_cell_angle_beta 90.00
_cell_angle_gamma 90.00
_space_group_name_H-M_alt 'C m m m'
_space_group_IT_number 65
_space_group_name_Hall '-C 2 2'
loop_
_atom_site_label
_atom_site_fract_x
_atom_site_fract_y
_atom_site_fract_z
Co1 0.2500 0.2500 0.0000
Re1 0.0000 0.0000 0.5000
Rh1 0.0000 0.5000 0.5000
# - excess energy over the best structure of this formula in the dataset (meV per atom) = 60
# - calculated total energy (eV per atom) = -8.418
# - total moment (μB/f.u.) = 1.2
# - DFT formation energy (meV/atom) = 85

---

# 12
# GGA-PBE NaTmTeSe, relaxed
data_NaTmTeSe
_chemical_formula_sum 'Na3 Tm3 Te3 Se3'
_cell_length_a 4.1989
_cell_length_b 4.1989
_cell_length_c 22.7979
_cell_angle_alpha 90.00
_cell_angle_beta 90.00
_cell_angle_gamma 120.00
_space_group_name_H-M_alt 'R 3 m'
_space_group_IT_number 160
_space_group_name_Hall 'R 3 -2"'
loop_
_atom_site_label
_atom_site_fract_x
_atom_site_fract_y
_atom_site_fract_z
Na1 0.0000 0.0000 0.0000
Tm1 0.0000 0.0000 0.8398
Te1 0.0000 0.0000 0.4261
Se1 0.0000 0.0000 0.2406
# - ΔE_f (raw) (eV/atom) = -1.446
# - calculated total energy (eV per atom) = -4.550
# - total moment (μB/f.u.) = 0.0